Entry A
# InTe2SN, relaxed, DFT PBE
# * crystal system: tetragonal
# * total moment: 1.4 μB/f.u.
# * calculated volume: 27.0 Å³/atom
# * space-group type: No. 123
data_InTe2SN
_chemical_formula_sum 'In1 Te2 S1 N1'
_cell_length_a 5.8032
_cell_length_b 5.8032
_cell_length_c 4.0128
_cell_angle_alpha 90.00
_cell_angle_beta 90.00
_cell_angle_gamma 90.00
_symmetry_space_group_name_H-M 'P 1'
_symmetry_Int_Tables_number 1
loop_
_symmetry_equiv_pos_as_xyz
'x,y,z'
loop_
_atom_site_label
_atom_site_type_symbol
_atom_site_fract_x
_atom_site_fract_y
_atom_site_fract_z
In1 In 0.0000 0.0000 0.0000
Te1 Te 0.0000 0.5000 0.0000
Te2 Te 0.5000 0.0000 0.0000
S1 S 0.5000 0.5000 0.5000
N1 N 0.0000 0.0000 0.5000



Entry B
# InTe2SN, relaxed, DFT PBE
# * crystal system: tetragonal
# * total moment: 0.0 μB/f.u.
# * calculated volume: 25.2 Å³/atom
# * space-group type: No. 123
data_InTe2SN
_chemical_formula_sum 'In1 Te2 S1 N1'
_cell_length_a 6.2152
_cell_length_b 6.2152
_cell_length_c 3.2567
_cell_angle_alpha 90.00
_cell_angle_beta 90.00
_cell_angle_gamma 90.00
_symmetry_space_group_name_H-M 'P 1'
_symmetry_Int_Tables_number 1
loop_
_symmetry_equiv_pos_as_xyz
'x,y,z'
loop_
_atom_site_label
_atom_site_type_symbol
_atom_site_fract_x
_atom_site_fract_y
_atom_site_fract_z
In1 In 0.0000 0.0000 0.0000
Te1 Te 0.0000 0.5000 0.5000
Te2 Te 0.5000 0.0000 0.5000
S1 S 0.5000 0.5000 0.5000
N1 N 0.5000 0.5000 0.0000



Stability check: which of them is most stable? entry B.



Entry A
# InWSN2, relaxed, DFT PBE
# * crystal system: tetragonal
# * total moment: 0.0 μB/f.u.
# * calculated volume: 15.8 Å³/atom
# * space-group type: No. 123
data_InWSN2
_chemical_formula_sum 'In1 W1 S1 N2'
_cell_length_a 3.9593
_cell_length_b 3.9593
_cell_length_c 5.0307
_cell_angle_alpha 90.00
_cell_angle_beta 90.00
_cell_angle_gamma 90.00
_symmetry_space_group_name_H-M 'P 1'
_symmetry_Int_Tables_number 1
loop_
_symmetry_equiv_pos_as_xyz
'x,y,z'
loop_
_atom_site_label
_atom_site_type_symbol
_atom_site_fract_x
_atom_site_fract_y
_atom_site_fract_z
In1 In 0.0000 0.0000 0.0000
W1 W 0.5000 0.5000 0.5000
S1 S 0.5000 0.5000 0.0000
N1 N 0.0000 0.5000 0.5000
N2 N 0.5000 0.0000 0.5000



Entry B
# InWSN2, relaxed, DFT PBE
# * crystal system: tetragonal
# * total moment: 1.2 μB/f.u.
# * calculated volume: 17.3 Å³/atom
# * space-group type: No. 123
data_InWSN2
_chemical_formula_sum 'In1 W1 S1 N2'
_cell_length_a 4.1059
_cell_length_b 4.1059
_cell_length_c 5.1245
_cell_angle_alpha 90.00
_cell_angle_beta 90.00
_cell_angle_gamma 90.00
_symmetry_space_group_name_H-M 'P 1'
_symmetry_Int_Tables_number 1
loop_
_symmetry_equiv_pos_as_xyz
'x,y,z'
loop_
_atom_site_label
_atom_site_type_symbol
_atom_site_fract_x
_atom_site_fract_y
_atom_site_fract_z
In1 In 0.0000 0.0000 0.0000
W1 W 0.5000 0.5000 0.5000
S1 S 0.0000 0.0000 0.5000
N1 N 0.0000 0.5000 0.0000
N2 N 0.5000 0.0000 0.0000



Stability check: which of them is most stable? entry A.



Entry A
# YInSN2, relaxed, DFT PBE
# * crystal system: tetragonal
# * total moment: 0.0 μB/f.u.
# * calculated volume: 18.5 Å³/atom
# * space-group type: No. 123
data_YInSN2
_chemical_formula_sum 'Y1 In1 S1 N2'
_cell_length_a 4.1897
_cell_length_b 4.1897
_cell_length_c 5.2665
_cell_angle_alpha 90.00
_cell_angle_beta 90.00
_cell_angle_gamma 90.00
_symmetry_space_group_name_H-M 'P 1'
_symmetry_Int_Tables_number 1
loop_
_symmetry_equiv_pos_as_xyz
'x,y,z'
loop_
_atom_site_label
_atom_site_type_symbol
_atom_site_fract_x
_atom_site_fract_y
_atom_site_fract_z
Y1 Y 0.0000 0.0000 0.0000
In1 In 0.5000 0.5000 0.5000
S1 S 0.5000 0.5000 0.0000
N1 N 0.0000 0.5000 0.5000
N2 N 0.5000 0.0000 0.5000



Entry B
# YInSN2, relaxed, DFT PBE
# * crystal system: tetragonal
# * total moment: 3.7 μB/f.u.
# * calculated volume: 22.9 Å³/atom
# * space-group type: No. 123
data_YInSN2
_chemical_formula_sum 'Y1 In1 S1 N2'
_cell_length_a 4.5874
_cell_length_b 4.5874
_cell_length_c 5.4317
_cell_angle_alpha 90.00
_cell_angle_beta 90.00
_cell_angle_gamma 90.00
_symmetry_space_group_name_H-M 'P 1'
_symmetry_Int_Tables_number 1
loop_
_symmetry_equiv_pos_as_xyz
'x,y,z'
loop_
_atom_site_label
_atom_site_type_symbol
_atom_site_fract_x
_atom_site_fract_y
_atom_site_fract_z
Y1 Y 0.0000 0.0000 0.0000
In1 In 0.5000 0.5000 0.5000
S1 S 0.0000 0.0000 0.5000
N1 N 0.0000 0.5000 0.0000
N2 N 0.5000 0.0000 0.0000



Stability check: which of them is most stable? entry A.



Entry A
# InSb2N, relaxed, DFT PBE
# * crystal system: cubic
# * total moment: 1.1 μB/f.u.
# * calculated volume: 21.4 Å³/atom
# * space-group type: No. 225
data_InSb2N
_chemical_formula_sum 'In4 Sb8 N4'
_cell_length_a 6.9993
_cell_length_b 6.9993
_cell_length_c 6.9993
_cell_angle_alpha 90.00
_cell_angle_beta 90.00
_cell_angle_gamma 90.00
_symmetry_space_group_name_H-M 'P 1'
_symmetry_Int_Tables_number 1
loop_
_symmetry_equiv_pos_as_xyz
'x,y,z'
loop_
_atom_site_label
_atom_site_type_symbol
_atom_site_fract_x
_atom_site_fract_y
_atom_site_fract_z
In1 In 0.0000 0.0000 0.0000
In2 In 0.0000 0.5000 0.5000
In3 In 0.5000 0.0000 0.5000
In4 In 0.5000 0.5000 0.0000
Sb1 Sb 0.2500 0.2500 0.2500
Sb2 Sb 0.2500 0.2500 0.7500
Sb3 Sb 0.2500 0.7500 0.2500
Sb4 Sb 0.2500 0.7500 0.7500
Sb5 Sb 0.7500 0.2500 0.2500
Sb6 Sb 0.7500 0.2500 0.7500
Sb7 Sb 0.7500 0.7500 0.2500
Sb8 Sb 0.7500 0.7500 0.7500
N1 N 0.0000 0.0000 0.5000
N2 N 0.0000 0.5000 0.0000
N3 N 0.5000 0.0000 0.0000
N4 N 0.5000 0.5000 0.5000



Entry B
# InSb2N, relaxed, DFT PBE
# * crystal system: monoclinic
# * total moment: 0.0 μB/f.u.
# * calculated volume: 33.2 Å³/atom
# * space-group type: No. 8
data_InSb2N
_chemical_formula_sum 'In4 Sb8 N4'
_cell_length_a 16.3801
_cell_length_b 5.7518
_cell_length_c 5.6307
_cell_angle_alpha 90.00
_cell_angle_beta 90.13
_cell_angle_gamma 90.00
_symmetry_space_group_name_H-M 'P 1'
_symmetry_Int_Tables_number 1
loop_
_symmetry_equiv_pos_as_xyz
'x,y,z'
loop_
_atom_site_label
_atom_site_type_symbol
_atom_site_fract_x
_atom_site_fract_y
_atom_site_fract_z
In1 In 0.0000 0.0000 0.0000
In2 In 0.0445 0.5000 0.5770
In3 In 0.5000 0.5000 0.0000
In4 In 0.5445 0.0000 0.5770
Sb1 Sb 0.0846 0.0000 0.4891
Sb2 Sb 0.3546 0.0000 0.6180
Sb3 Sb 0.4046 0.5000 0.4964
Sb4 Sb 0.4458 0.0000 0.0603
Sb5 Sb 0.5846 0.5000 0.4891
Sb6 Sb 0.8546 0.5000 0.6180
Sb7 Sb 0.9046 0.0000 0.4964
Sb8 Sb 0.9458 0.5000 0.0603
N1 N 0.2181 0.5000 0.9436
N2 N 0.2200 0.5000 0.1418
N3 N 0.7181 0.0000 0.9436
N4 N 0.7200 0.0000 0.1418



Entry C
# InSb2N, relaxed, DFT PBE
# * crystal system: tetragonal
# * total moment: 0.0 μB/f.u.
# * calculated volume: 25.7 Å³/atom
# * space-group type: No. 122
data_InSb2N
_chemical_formula_sum 'In4 Sb8 N4'
_cell_length_a 5.7005
_cell_length_b 5.7005
_cell_length_c 12.6674
_cell_angle_alpha 90.00
_cell_angle_beta 90.00
_cell_angle_gamma 90.00
_symmetry_space_group_name_H-M 'P 1'
_symmetry_Int_Tables_number 1
loop_
_symmetry_equiv_pos_as_xyz
'x,y,z'
loop_
_atom_site_label
_atom_site_type_symbol
_atom_site_fract_x
_atom_site_fract_y
_atom_site_fract_z
In1 In 0.0000 0.0000 0.0000
In2 In 0.0000 0.5000 0.2500
In3 In 0.5000 0.0000 0.7500
In4 In 0.5000 0.5000 0.5000
Sb1 Sb 0.1549 0.2500 0.6250
Sb2 Sb 0.2500 0.6549 0.8750
Sb3 Sb 0.2500 0.8451 0.3750
Sb4 Sb 0.3451 0.2500 0.1250
Sb5 Sb 0.6549 0.7500 0.1250
Sb6 Sb 0.7500 0.1549 0.3750
Sb7 Sb 0.7500 0.3451 0.8750
Sb8 Sb 0.8451 0.7500 0.6250
N1 N 0.0000 0.0000 0.5000
N2 N 0.0000 0.5000 0.7500
N3 N 0.5000 0.0000 0.2500
N4 N 0.5000 0.5000 0.0000



Stability check: which of them is most stable? entry B.



Entry A
# InSb2N, relaxed, DFT PBE
# * crystal system: triclinic
# * total moment: 0.0 μB/f.u.
# * calculated volume: 33.3 Å³/atom
# * space-group type: No. 1
data_InSb2N
_chemical_formula_sum 'In2 Sb4 N2'
_cell_length_a 5.4250
_cell_length_b 6.5741
_cell_length_c 7.9239
_cell_angle_alpha 89.59
_cell_angle_beta 70.29
_cell_angle_gamma 90.00
_symmetry_space_group_name_H-M 'P 1'
_symmetry_Int_Tables_number 1
loop_
_symmetry_equiv_pos_as_xyz
'x,y,z'
loop_
_atom_site_label
_atom_site_type_symbol
_atom_site_fract_x
_atom_site_fract_y
_atom_site_fract_z
In1 In 0.0000 0.0000 0.0000
In2 In 0.4154 0.2525 0.1714
Sb1 Sb 0.5892 0.4928 0.8195
Sb2 Sb 0.5957 0.0528 0.8060
Sb3 Sb 0.8385 0.2878 0.3274
Sb4 Sb 0.9988 0.5436 0.0028
N1 N 0.2342 0.7631 0.5274
N2 N 0.3110 0.7789 0.3784



Entry B
# InSb2N, relaxed, DFT PBE
# * crystal system: triclinic
# * total moment: 0.0 μB/f.u.
# * calculated volume: 28.9 Å³/atom
# * space-group type: No. 1
data_InSb2N
_chemical_formula_sum 'In2 Sb4 N2'
_cell_length_a 5.7287
_cell_length_b 6.6782
_cell_length_c 6.6897
_cell_angle_alpha 87.46
_cell_angle_beta 64.74
_cell_angle_gamma 89.30
_symmetry_space_group_name_H-M 'P 1'
_symmetry_Int_Tables_number 1
loop_
_symmetry_equiv_pos_as_xyz
'x,y,z'
loop_
_atom_site_label
_atom_site_type_symbol
_atom_site_fract_x
_atom_site_fract_y
_atom_site_fract_z
In1 In 0.0000 0.0000 0.0000
In2 In 0.2640 0.9637 0.4710
Sb1 Sb 0.4703 0.6486 0.0595
Sb2 Sb 0.4787 0.1767 0.0399
Sb3 Sb 0.7002 0.8702 0.6031
Sb4 Sb 0.8803 0.5976 0.2401
N1 N 0.1022 0.3772 0.6284
N2 N 0.1981 0.4950 0.6826



Entry C
# InSb2N, relaxed, DFT PBE
# * crystal system: monoclinic
# * total moment: 0.0 μB/f.u.
# * calculated volume: 30.3 Å³/atom
# * space-group type: No. 8
data_InSb2N
_chemical_formula_sum 'In4 Sb8 N4'
_cell_length_a 12.6576
_cell_length_b 5.6434
_cell_length_c 6.7951
_cell_angle_alpha 90.00
_cell_angle_beta 91.58
_cell_angle_gamma 90.00
_symmetry_space_group_name_H-M 'P 1'
_symmetry_Int_Tables_number 1
loop_
_symmetry_equiv_pos_as_xyz
'x,y,z'
loop_
_atom_site_label
_atom_site_type_symbol
_atom_site_fract_x
_atom_site_fract_y
_atom_site_fract_z
In1 In 0.0000 0.0000 0.0000
In2 In 0.2105 0.0000 0.7264
In3 In 0.5000 0.5000 0.0000
In4 In 0.7105 0.5000 0.7264
Sb1 Sb 0.0073 0.0000 0.4436
Sb2 Sb 0.0826 0.5000 0.5056
Sb3 Sb 0.0955 0.5000 0.9316
Sb4 Sb 0.3107 0.5000 0.7077
Sb5 Sb 0.5073 0.5000 0.4436
Sb6 Sb 0.5826 0.0000 0.5056
Sb7 Sb 0.5955 0.0000 0.9316
Sb8 Sb 0.8107 0.0000 0.7077
N1 N 0.2990 0.0000 0.2958
N2 N 0.3202 0.0000 0.1372
N3 N 0.7990 0.5000 0.2958
N4 N 0.8202 0.5000 0.1372



Entry D
# InSb2N, relaxed, DFT PBE
# * crystal system: triclinic
# * total moment: 0.0 μB/f.u.
# * calculated volume: 32.5 Å³/atom
# * space-group type: No. 1
data_InSb2N
_chemical_formula_sum 'In2 Sb4 N2'
_cell_length_a 6.5501
_cell_length_b 6.6013
_cell_length_c 7.0466
_cell_angle_alpha 76.36
_cell_angle_beta 73.37
_cell_angle_gamma 63.74
_symmetry_space_group_name_H-M 'P 1'
_symmetry_Int_Tables_number 1
loop_
_symmetry_equiv_pos_as_xyz
'x,y,z'
loop_
_atom_site_label
_atom_site_type_symbol
_atom_site_fract_x
_atom_site_fract_y
_atom_site_fract_z
In1 In 0.0000 0.0000 0.0000
In2 In 0.2993 0.1693 0.6510
Sb1 Sb 0.0543 0.1919 0.3229
Sb2 Sb 0.1364 0.5075 0.9817
Sb3 Sb 0.5580 0.4490 0.4115
Sb4 Sb 0.5936 0.4525 0.9970
N1 N 0.7388 0.7811 0.5656
N2 N 0.9326 0.7239 0.5177



Stability check: which of them is most stable? entry A.